(1)
LiZnO3 | PBE | relaxed

## Properties
Uncorrected energy (eV per atom): -3.9650
Fermi-level density of states (states/eV per cell): 4.956
Size of the total moment (μB per formula unit): 0.00
Raw formation energy (meV per atom): -352.5

a = 3.786 Å, b = 3.786 Å, c = 3.786 Å
α = 90.00°, β = 90.00°, γ = 90.00°
Space group Pm-3m (No. 221)
Symmetry-distinct sites (fractional):
Li 0.000 0.000 0.000 [1 per cell]
Zn 0.500 0.500 0.500 [1 per cell]
O 0.000 0.500 0.500 [3 per cell]


(2)
Dy3IrS2 | PBE | relaxed

## Properties
Uncorrected energy (eV per atom): -6.6902
Fermi-level density of states (states/eV per cell): 7.472
Size of the total moment (μB per formula unit): 0.00
Raw formation energy (meV per atom): -1536.5

a = 3.976 Å, b = 3.976 Å, c = 16.990 Å
α = 90.00°, β = 90.00°, γ = 90.00°
Space group I4/mmm (No. 139)
Symmetry-distinct sites (fractional):
Dy 0.000 0.000 0.000 [2 per cell]
Dy 0.000 0.000 0.339 [4 per cell]
Ir 0.000 0.000 0.500 [2 per cell]
S 0.000 0.000 0.174 [4 per cell]


(3)
Ca2Ni2Os | PBE | relaxed

## Properties
Uncorrected energy (eV per atom): -5.2402
Fermi-level density of states (states/eV per cell): 5.403
Size of the total moment (μB per formula unit): 0.00

a = 6.353 Å, b = 6.353 Å, c = 4.566 Å
α = 90.00°, β = 90.00°, γ = 90.00°
Space group P4/mbm (No. 127)
Symmetry-distinct sites (fractional):
Ca 0.183 0.317 0.000 [4 per cell]
Ni 0.132 0.632 0.500 [4 per cell]
Os 0.000 0.000 0.500 [2 per cell]